# GGA-PBE Gd3LuF, relaxed
data_Gd3LuF
_space_group_name_H-M_alt 'P m -3 m'
_space_group_IT_number 221
_space_group_name_Hall '-P 4 2 3'
_cell_length_a 5.065
_cell_length_b 5.065
_cell_length_c 5.065
_cell_angle_alpha 90.00
_cell_angle_beta 90.00
_cell_angle_gamma 90.00
loop_
_atom_site_label
_atom_site_type_symbol
_atom_site_fract_x
_atom_site_fract_y
_atom_site_fract_z
Gd1 Gd 0.000 0.000 0.500
Lu1 Lu 0.500 0.500 0.500
F1 F 0.000 0.000 0.000
# * formation energy from raw total energies: -0.920 eV per atom
# * spin magnetization: 4.310 μB/atom
# * theoretical density: 8507 kg/m3

# GGA-PBE Gd2MgF, relaxed
data_Gd2MgF
_space_group_name_H-M_alt 'R -3 m'
_space_group_IT_number 166
_space_group_name_Hall '-R 3 2"'
_cell_length_a 3.7163
_cell_length_b 3.7163
_cell_length_c 24.0581
_cell_angle_alpha 90.00
_cell_angle_beta 90.00
_cell_angle_gamma 120.00
loop_
_atom_site_label
_atom_site_type_symbol
_atom_site_fract_x
_atom_site_fract_y
_atom_site_fract_z
Gd1 Gd 0.0000 0.0000 0.2262
Mg1 Mg 0.0000 0.0000 0.0000
F1 F 0.0000 0.0000 0.5000
# * formation energy from raw total energies: -1.103 eV per atom
# * spin magnetization: 3.667 μB/atom
# * theoretical density: 6194 kg/m3

# GGA-PBE Gd3MgF, relaxed
data_Gd3MgF
_space_group_name_H-M_alt 'P m -3 m'
_space_group_IT_number 221
_space_group_name_Hall '-P 4 2 3'
_cell_length_a 4.997
_cell_length_b 4.997
_cell_length_c 4.997
_cell_angle_alpha 90.00
_cell_angle_beta 90.00
_cell_angle_gamma 90.00
loop_
_atom_site_label
_atom_site_type_symbol
_atom_site_fract_x
_atom_site_fract_y
_atom_site_fract_z
Gd1 Gd 0.000 0.000 0.500
Mg1 Mg 0.500 0.500 0.500
F1 F 0.000 0.000 0.000
# * formation energy from raw total energies: -0.900 eV per atom
# * spin magnetization: 4.362 μB/atom
# * theoretical density: 6853 kg/m3

# GGA-PBE Gd3Mg5F12, relaxed
data_Gd3Mg5F12
_space_group_name_H-M_alt 'I a -3 d'
_space_group_IT_number 230
_space_group_name_Hall '-I 4bd 2c 3'
_cell_length_a 13.613
_cell_length_b 13.613
_cell_length_c 13.613
_cell_angle_alpha 90.00
_cell_angle_beta 90.00
_cell_angle_gamma 90.00
loop_
_atom_site_label
_atom_site_type_symbol
_atom_site_fract_x
_atom_site_fract_y
_atom_site_fract_z
Gd1 Gd 0.000 0.250 0.125
Mg1 Mg 0.000 0.000 0.000
Mg2 Mg 0.000 0.250 0.375
F1 F 0.024 0.079 0.628
# * formation energy from raw total energies: -2.819 eV per atom
# * spin magnetization: 1.056 μB/atom
# * theoretical density: 4325 kg/m3